[1]
Nb3Fe8Ir (PBE, optimized geometry); SG = No. 156; ΔE to the lowest computed polymorph = 10 meV per atom; crystal system = trigonal
1.0
4.7623 0.0000 0.0000
-2.3812 4.1243 0.0000
0.0000 0.0000 7.8055
Nb Fe Ir
3 8 1
direct
0.0000 0.0000 0.0000 Nb
0.0000 0.0000 0.3786 Nb
0.3333 0.6667 0.8533 Nb
0.0049 0.5024 0.1822 Fe
0.3316 0.1658 0.6819 Fe
0.4976 0.5024 0.1822 Fe
0.4976 0.9951 0.1822 Fe
0.6667 0.3333 0.4303 Fe
0.6667 0.3333 0.9339 Fe
0.8342 0.1658 0.6819 Fe
0.8342 0.6684 0.6819 Fe
0.3333 0.6667 0.4904 Ir

---

[2]
TiAlNi5 (PBE, optimized geometry); SG = No. 123; ΔE to the lowest computed polymorph = 0 meV per atom; crystal system = tetragonal
1.0
3.6132 0.0000 0.0000
0.0000 3.6132 0.0000
0.0000 0.0000 6.7453
Ti Al Ni
1 1 5
direct
0.0000 0.0000 0.0000 Ti
0.5000 0.5000 0.5000 Al
0.0000 0.5000 0.2647 Ni
0.0000 0.5000 0.7353 Ni
0.5000 0.0000 0.2647 Ni
0.5000 0.0000 0.7353 Ni
0.5000 0.5000 0.0000 Ni

---

[3]
Ba2ZnBr (PBE, optimized geometry); formation energy (no corrections) = -79.2 kJ/mol of atoms; SG = No. 160; ΔE to the lowest computed polymorph = 67 meV per atom; crystal system = trigonal
1.0
2.3155 1.3369 8.8692
-2.3155 1.3369 8.8692
0.0000 -2.6738 8.8692
Ba Zn Br
2 1 1
direct
0.0000 0.0000 0.0000 Ba
0.1791 0.1791 0.1791 Ba
0.5890 0.5890 0.5890 Zn
0.7575 0.7575 0.7575 Br

---

[4]
Ti2AlRh6 (PBE, optimized geometry); SG = No. 71; crystal system = orthorhombic
1.0
-2.0630 2.9020 6.1334
2.0630 -2.9020 6.1334
2.0630 2.9020 -6.1334
Ti Al Rh
2 1 6
direct
0.1647 0.1647 0.0000 Ti
0.8353 0.8353 0.0000 Ti
0.5000 0.5000 0.0000 Al
0.0849 0.3341 0.7509 Rh
0.2536 0.0000 0.2536 Rh
0.4168 0.6659 0.7509 Rh
0.5832 0.3341 0.2491 Rh
0.7464 0.0000 0.7464 Rh
0.9151 0.6659 0.2491 Rh

---

[5]
ReTeRu2 (PBE, optimized geometry); formation energy (no corrections) = 42.7 kJ/mol of atoms; SG = No. 166; crystal system = trigonal
1.0
1.4790 0.8539 8.5826
-1.4790 0.8539 8.5826
0.0000 -1.7078 8.5826
Re Te Ru
1 1 2
direct
0.0000 0.0000 0.0000 Re
0.5000 0.5000 0.5000 Te
0.2529 0.2529 0.2529 Ru
0.7471 0.7471 0.7471 Ru

---

[6]
PmDyZn2Ga2 (PBE, optimized geometry); SG = No. 164; crystal system = trigonal
1.0
4.4435 0.0000 0.0000
-2.2218 3.8482 0.0000
0.0000 0.0000 7.3574
Pm Dy Zn Ga
1 1 2 2
direct
0.0000 0.0000 0.0000 Pm
0.0000 0.0000 0.5000 Dy
0.3333 0.6667 0.2691 Zn
0.6667 0.3333 0.7309 Zn
0.3333 0.6667 0.7378 Ga
0.6667 0.3333 0.2622 Ga

---

[7]
Na4Er3MnSe8 (PBE, optimized geometry); formation energy (no corrections) = -137.7 kJ/mol of atoms; SG = No. 166; crystal system = trigonal
1.0
4.0408 2.3330 6.9984
-4.0408 2.3330 6.9984
0.0000 -4.6659 6.9984
Na Er Mn Se
4 3 1 8
direct
0.0000 0.0000 0.0000 Na
0.0000 0.5000 0.5000 Na
0.5000 0.0000 0.5000 Na
0.5000 0.5000 0.0000 Na
0.0000 0.0000 0.5000 Er
0.0000 0.5000 0.0000 Er
0.5000 0.0000 0.0000 Er
0.5000 0.5000 0.5000 Mn
0.2433 0.2433 0.2433 Se
0.2568 0.7317 0.7317 Se
0.2683 0.2683 0.7432 Se
0.2683 0.7432 0.2683 Se
0.7317 0.2568 0.7317 Se
0.7317 0.7317 0.2568 Se
0.7432 0.2683 0.2683 Se
0.7567 0.7567 0.7567 Se

---

[8]
NaFeSn2 (PBE, optimized geometry); SG = No. 122; crystal system = tetragonal
1.0
-3.0026 3.0026 7.3708
3.0026 -3.0026 7.3708
3.0026 3.0026 -7.3708
Na Fe Sn
2 2 4
direct
0.0000 0.0000 0.0000 Na
0.7500 0.2500 0.5000 Na
0.2500 0.7500 0.5000 Fe
0.5000 0.5000 0.0000 Fe
0.3041 0.6250 0.1791 Sn
0.3750 0.5541 0.6791 Sn
0.4459 0.1250 0.8209 Sn
0.8750 0.6959 0.3209 Sn

---

[9]
Co2RhW (PBE, optimized geometry); SG = No. 99; ΔE to the lowest computed polymorph = 113 meV per atom; crystal system = tetragonal
1.0
2.7234 0.0000 0.0000
0.0000 2.7234 0.0000
0.0000 0.0000 7.0533
Co Rh W
2 1 1
direct
0.0000 0.0000 0.0000 Co
0.5000 0.5000 0.2129 Co
0.0000 0.0000 0.4681 Rh
0.5000 0.5000 0.7456 W

---

[10]
Al2BrCl (PBE, optimized geometry); formation energy (no corrections) = -15.4 kJ/mol of atoms; SG = No. 65; ΔE to the lowest computed polymorph = 481 meV per atom; crystal system = orthorhombic
1.0
1.7585 -3.0368 0.0000
1.7585 3.0368 0.0000
0.0000 0.0000 8.7824
Al Br Cl
2 1 1
direct
0.0000 0.0000 0.2433 Al
0.0000 0.0000 0.7567 Al
0.5000 0.5000 0.5000 Br
0.5000 0.5000 0.0000 Cl

---

[11]
CaP2W (PBE, optimized geometry); SG = No. 35; ΔE to the lowest computed polymorph = 950 meV per atom; crystal system = orthorhombic
1.0
1.7907 -2.2107 0.0000
1.7907 2.2107 0.0000
0.0000 0.0000 10.1553
Ca P W
1 2 1
direct
0.0000 0.0000 0.0000 Ca
0.0000 0.0000 0.5683 P
0.5000 0.5000 0.2171 P
0.5000 0.5000 0.7396 W

---

[12]
K2GaHg7 (PBE, optimized geometry); SG = No. 115; crystal system = tetragonal
1.0
5.2323 0.0000 0.0000
0.0000 5.2323 0.0000
0.0000 0.0000 11.4659
K Ga Hg
2 1 7
direct
0.0000 0.5000 0.2441 K
0.5000 0.0000 0.7559 K
0.5000 0.5000 0.0000 Ga
0.0000 0.0000 0.0000 Hg
0.0000 0.0000 0.5000 Hg
0.0000 0.5000 0.6376 Hg
0.0000 0.5000 0.8922 Hg
0.5000 0.0000 0.1078 Hg
0.5000 0.0000 0.3624 Hg
0.5000 0.5000 0.5000 Hg

---

[13]
Nd4CoPb2 (PBE, optimized geometry); SG = No. 139; ΔE to the lowest computed polymorph = 22 meV per atom; crystal system = tetragonal
1.0
-2.5143 2.5143 8.6546
2.5143 -2.5143 8.6546
2.5143 2.5143 -8.6546
Nd Co Pb
4 1 2
direct
0.0000 0.5000 0.5000 Nd
0.1737 0.1737 0.0000 Nd
0.5000 0.0000 0.5000 Nd
0.8263 0.8263 0.0000 Nd
0.0000 0.0000 0.0000 Co
0.3599 0.3599 0.0000 Pb
0.6401 0.6401 0.0000 Pb

---

| no. | uncorrected energy (eV per atom) | volume (Å³ per atom) | Fermi-level density of states (states/eV/f.u.) |
| --- | --- | --- | --- |
| 1 | -9.059 | 12.78 | 16.70 |
| 2 | -6.116 | 12.58 | 4.73 |
| 3 | -2.519 | 41.18 | 3.50 |
| 4 | -7.429 | 16.32 | 6.85 |
| 5 | -8.093 | 16.26 | 3.74 |
| 6 | -3.560 | 20.97 | 3.23 |
| 7 | -4.927 | 24.74 | 2.30 |
| 8 | -4.026 | 33.23 | 3.80 |
| 9 | -8.592 | 13.08 | 3.86 |
| 10 | -2.911 | 23.45 | 0.59 |
| 11 | -6.056 | 20.10 | 1.74 |
| 12 | -0.882 | 31.39 | 3.19 |
| 13 | -5.114 | 31.26 | 3.82 |